An optimized crystal structure of DyHoSc2, computed with PBE.

Values from the calculation:
**Total DFT energy (no corrections)**: -0.39758 Ry per atom
**E_form**: 0.21 eV/f.u.

```
DyHoSc2
1.0
-0.9005 -0.5131 3.2811
-0.2360 -5.7184 -0.9583
5.4182 1.2240 1.6792
Sc Ho Dy
2 1 1
Cartesian
0.0000 0.0000 0.0000
2.5911 -2.2472 0.3604
2.2588 0.3555 2.4801
-0.5682 -3.1158 1.1614
```

An optimized crystal structure of Dy3Ho5Sc, computed with PBE.

Values from the calculation:
**Total DFT energy (no corrections)**: -0.30740 Ry per atom
**E_form**: 5.38 eV/f.u.

```
Dy3Ho5Sc
1.0
-5.4306 -5.8611 -1.7570
5.1547 -4.3046 -4.6723
2.8127 -9.9104 4.9212
Ho Sc Dy
10 2 6
Cartesian
1.6244 -11.3675 -0.1714
2.1514 -4.7462 -3.8451
-2.4273 -5.4195 -2.5841
0.9125 -8.7087 -1.3366
2.5996 -12.7532 2.6299
4.7489 -10.8659 1.1502
-2.2121 -9.2103 -2.6582
-0.0628 -7.3229 -4.1379
-0.4163 -11.6254 2.5727
2.9531 -8.4508 -4.0808
0.5732 -2.7800 0.5970
1.9636 -17.2962 -2.1051
0.0000 0.0000 0.0000
0.5904 -5.6430 -0.8690
1.9464 -14.4332 -0.6390
1.4063 -4.9552 2.4606
0.7506 -11.3541 -3.3368
1.7862 -8.7221 1.8288
```

An optimized crystal structure of Dy3Ho4Sc, computed with PBE.

Values from the calculation:
**Total DFT energy (no corrections)**: -0.34655 Ry per atom
**E_form**: 0.73 eV/f.u.

```
Dy3Ho4Sc
1.0
7.7243 0.0000 -4.0506
-2.1241 7.4265 -4.0506
-0.2960 -0.3925 8.8258
Ho Dy Sc
8 6 2
Cartesian
5.5199 2.1983 -1.6946
-1.7326 5.9116 -0.4736
4.0682 3.3609 1.1981
-0.2157 4.8356 2.4191
7.0368 1.1224 1.1981
3.8319 -0.0402 0.7473
1.4723 7.0741 -0.0228
1.2359 3.6731 -0.4736
2.4134 1.0925 -2.0253
-0.2383 4.8057 -3.2171
4.0521 5.3736 -1.6631
3.1868 6.3340 -6.0759
1.2520 1.6604 2.3876
5.8384 2.6208 -4.8842
2.8001 3.7133 -4.0506
0.0000 0.0000 0.0000
```